BaAl4Te | PBE | optimized geometry

a b c (Å): 5.9254 5.9254 5.9254
angles (deg): 60.00 60.00 60.00
Last column: nearest neighbours and their distance in Å.
Positions (direct):
1 Ba 0.0000 0.0000 0.0000  12 Al 3.48, 4 Te 3.63
2 Al 0.3755 0.3755 0.3755  6 Al 2.95-2.98
3 Al 0.3755 0.3755 0.8734  6 Al 2.95-2.98
4 Al 0.3755 0.8734 0.3755  6 Al 2.95-2.98
5 Al 0.8734 0.3755 0.3755  6 Al 2.95-2.98
6 Te 0.7500 0.7500 0.7500  12 Al 3.47, 4 Ba 3.63

ΔE_f (raw): 0.01 eV per formula unit
DOS(E_F): 1.021 states/eV/atom

---

BaAlTe | PBE | optimized geometry

a b c (Å): 5.6277 5.6277 5.6277
angles (deg): 60.00 60.00 60.00
Last column: nearest neighbours and their distance in Å.
Positions (direct):
1 Ba 0.0000 0.0000 0.0000  4 Te 3.45, 4 Al 3.45
2 Al 0.2500 0.2500 0.2500  4 Ba 3.45
3 Te 0.7500 0.7500 0.7500  4 Ba 3.45

ΔE_f (raw): -0.60 eV per formula unit
DOS(E_F): 0.805 states/eV/atom